# Sr3RhI, relaxed, DFT PBE
data_Sr3RhI
_symmetry_space_group_name_H-M 'P 1'
_symmetry_Int_Tables_number 1
_cell_length_a 5.887
_cell_length_b 5.887
_cell_length_c 5.887
_cell_angle_alpha 90.00
_cell_angle_beta 90.00
_cell_angle_gamma 90.00
loop_
_symmetry_equiv_pos_as_xyz
'x,y,z'
loop_
_atom_site_label
_atom_site_type_symbol
_atom_site_fract_x
_atom_site_fract_y
_atom_site_fract_z
I1 I 0.500 0.500 0.500
Rh1 Rh 0.000 0.000 0.000
Sr1 Sr 0.500 0.000 0.000
Sr2 Sr 0.000 0.500 0.000
Sr3 Sr 0.000 0.000 0.500
# formation energy without anion corrections: -0.481 eV per atom
# relative energy among the computed polymorphs: 0.121 eV per atom
# raw total energy: -3.270 eV/atom
# SG: No. 221